Record 1
Entry from the Alexandria database: ZnReIr2 at its PBEsol-relaxed geometry (meta-GGA SCAN).

abc: 2.7644 4.5469 4.5469
angles: 90.00 90.00 90.00
Last column: magnetic moment on the atom in μB.
Element x y z (fractional)
Ir  0.0000  0.5000  0.0000  -0.39
Ir  0.0000  0.0000  0.5000  -0.39
Re  0.5000  0.5000  0.5000  -0.08
Zn  0.5000  0.0000  0.0000  0.00

* total magnetic moment: 0.84 μB per cell
* E_form: 0.5 eV/f.u.
* crystal system: tetragonal

Record 2
Entry from the Alexandria database: Zr4ReIr at its PBEsol-relaxed geometry (meta-GGA SCAN).

abc: 5.4020 5.4020 5.4020
angles: 60.00 60.00 60.00
Element x y z (fractional)
Zr  0.3750  0.3750  0.3750
Zr  0.3750  0.8749  0.3750
Zr  0.8749  0.3750  0.3750
Zr  0.3750  0.3750  0.8749
Ir  0.7500  0.7500  0.7500
Re  0.0000  0.0000  0.0000

* total magnetic moment: 0.00 μB per cell
* E_form: 3.5 eV/f.u.
* crystal system: cubic

Record 3
Entry from the Alexandria database: ZrRe2Ir at its PBEsol-relaxed geometry (meta-GGA SCAN).

abc: 4.4754 4.4754 4.4754
angles: 60.00 60.00 60.00
Last column: magnetic moment on the atom in μB.
Element x y z (fractional)
Re  0.0000  0.0000  0.0000  -0.02
Re  0.7500  0.7500  0.7500  0.62
Zr  0.2500  0.2500  0.2500  0.01
Ir  0.5000  0.5000  0.5000  0.61

* total magnetic moment: 1.34 μB per cell
* E_form: -0.3 eV/f.u.
* crystal system: cubic

Record 4
Entry from the Alexandria database: ZrRe2Ir at its PBEsol-relaxed geometry (meta-GGA SCAN).

abc: 3.8639 3.8639 4.2234
angles: 90.00 90.00 90.00
Element x y z (fractional)
Re  0.0000  0.5000  0.0000
Re  0.5000  0.0000  0.0000
Zr  0.5000  0.5000  0.5000
Ir  0.0000  0.0000  0.5000

* total magnetic moment: 0.00 μB per cell
* E_form: -0.8 eV/f.u.
* crystal system: tetragonal